No. 1
SmY3S6 | Alexandria via LeMat-Bulk | PBE | relaxed; final energy = -6.943 eV per atom; M_tot = 0.00 Bohr magnetons per cell; mass density = 3.88 g/cm3; D(E_F) = 0.0 states/eV/cell
1.0
6.966 0.000 0.000
3.483 6.032 0.000
3.483 2.011 6.200
Sm Y S
1 3 6
Cartesian
10.449 6.032 2.726 Sm
6.966 4.022 5.881 Y
6.966 4.022 0.296 Y
3.483 2.011 3.431 Y
9.360 3.772 1.557 S
5.985 6.220 1.557 S
5.552 2.073 1.557 S
4.527 4.203 4.665 S
8.028 1.819 4.665 S
8.342 6.043 4.665 S

***

No. 2
SmYS | Alexandria via LeMat-Bulk | PBE | relaxed; final energy = -6.395 eV per atom; M_tot = 0.00 Bohr magnetons per cell; mass density = 5.54 g/cm3; D(E_F) = 1.6 states/eV/cell
1.0
-1.255 0.850 -3.550
1.519 -1.790 -3.065
-4.289 -4.827 -1.738
S Y Sm
1 1 1
Cartesian
-3.851 -4.779 -3.980 S
-2.862 -3.355 -1.890 Y
-0.637 -1.465 -4.323 Sm

***

No. 3
Sm3Y4S8 | Alexandria via LeMat-Bulk | PBE | relaxed; final energy = -6.923 eV per atom; M_tot = 0.00 Bohr magnetons per cell; mass density = 5.05 g/cm3; D(E_F) = 6.7 states/eV/cell
1.0
7.893 -0.108 -0.156
-3.849 6.906 0.133
-3.849 -2.273 6.523
Sm Y S
3 4 8
Cartesian
2.022 3.399 -0.011 Sm
2.022 -1.191 3.184 Sm
0.098 2.263 3.250 Sm
3.946 -0.054 -0.078 Y
-1.924 3.453 0.066 Y
0.000 0.000 0.000 Y
-1.924 -1.136 3.261 Y
2.028 1.083 1.555 S
-3.849 4.627 1.720 S
5.957 1.032 1.483 S
0.098 4.583 1.635 S
0.098 -0.058 4.865 S
-5.761 3.493 5.018 S
-3.849 0.007 4.936 S
-1.832 3.442 4.945 S

***

No. 4
Sm4YS4 | Alexandria via LeMat-Bulk | PBE | relaxed; final energy = -6.430 eV per atom; M_tot = 0.00 Bohr magnetons per cell; mass density = 6.16 g/cm3; D(E_F) = 5.8 states/eV/cell
1.0
5.243 0.000 2.102
2.577 6.247 1.163
0.296 -0.121 6.852
Sm Y S
4 1 4
Cartesian
4.749 3.702 3.334 Sm
3.366 2.423 6.784 Sm
1.674 1.206 3.415 Sm
6.442 4.920 6.702 Sm
0.000 0.000 0.000 Y
5.984 2.372 7.844 S
2.131 3.753 2.274 S
3.800 4.929 5.701 S
4.315 1.197 4.416 S

***

No. 5
Sm2YZrS4 | Alexandria via LeMat-Bulk | PBE | relaxed; final energy = -6.957 eV per atom; M_tot = 0.00 Bohr magnetons per cell; mass density = 5.99 g/cm3; D(E_F) = 3.3 states/eV/cell
1.0
-0.186 -3.544 -1.650
4.564 -2.298 4.422
-6.235 -0.843 2.512
Sm Y Zr S
2 1 1 4
Cartesian
-3.210 -2.194 0.431 Sm
-0.835 -1.570 3.467 Sm
0.000 0.000 0.000 Y
2.189 -2.921 1.386 Zr
-0.426 -2.549 0.882 S
-1.431 -4.136 4.403 S
-3.587 -1.245 3.077 S
1.916 -1.896 3.857 S

***

No. 6
Yb4SmS5 | Alexandria via LeMat-Bulk | PBE | relaxed; final energy = -5.289 eV per atom; M_tot = 0.69 Bohr magnetons per cell; mass density = 7.52 g/cm3; D(E_F) = 50.0 states/eV/cell
1.0
-6.607 1.077 12.649
-10.457 -1.680 9.624
9.658 -2.146 -10.340
Yb Sm S
4 1 5
Cartesian
-6.828 -0.241 8.913 Yb
-13.648 -0.482 17.814 Yb
-3.416 -0.121 4.459 Yb
-10.236 -0.362 13.360 Yb
0.000 0.000 0.000 Sm
-1.719 -0.061 2.243 S
-8.532 -0.301 11.137 S
-15.345 -0.542 20.030 S
-5.121 -0.181 6.685 S
-11.943 -0.422 15.588 S

***

No. 7
YbSmS2 | Alexandria via LeMat-Bulk | PBE | relaxed; final energy = -5.721 eV per atom; M_tot = 0.00 Bohr magnetons per cell; mass density = 7.22 g/cm3; D(E_F) = 1.7 states/eV/cell
1.0
-6.771 -0.623 1.267
-4.879 -1.959 4.493
-5.342 1.946 3.937
S Yb Sm
2 1 1
Cartesian
-4.209 -0.158 2.402 S
-12.783 -0.479 7.295 S
-8.496 -0.318 4.849 Yb
0.000 0.000 0.000 Sm

***

No. 8
Yb4SmS5 | Alexandria via LeMat-Bulk | PBE | relaxed; final energy = -5.280 eV per atom; M_tot = 0.41 Bohr magnetons per cell; mass density = 7.53 g/cm3; D(E_F) = 28.7 states/eV/cell
1.0
16.362 -0.020 -0.011
15.885 3.922 -0.011
15.885 1.923 3.419
Yb Sm S
4 1 5
Cartesian
4.803 0.581 0.339 Yb
33.693 4.078 2.377 Yb
14.439 1.748 1.019 Yb
43.329 5.244 3.057 Yb
24.066 2.913 1.698 Sm
28.881 3.496 2.038 S
19.250 2.330 1.358 S
0.000 0.000 0.000 S
9.676 1.171 0.683 S
38.455 4.654 2.713 S

***

No. 9
Yb4SmS5 | Alexandria via LeMat-Bulk | PBE | relaxed; final energy = -5.292 eV per atom; M_tot = 0.64 Bohr magnetons per cell; mass density = 7.54 g/cm3; D(E_F) = 49.1 states/eV/cell
1.0
7.822 -3.056 6.310
2.041 -6.263 8.182
-3.277 2.768 -9.588
Yb Sm S
4 1 5
Cartesian
6.217 -3.871 4.155 Yb
2.334 -4.537 3.634 Yb
4.252 -2.014 1.269 Yb
0.369 -2.681 0.748 Yb
2.273 -0.144 -1.639 Sm
1.969 -1.860 2.892 S
5.937 -5.610 8.723 S
0.000 0.000 0.000 S
3.926 -3.710 5.769 S
7.894 -7.460 11.599 S

***

No. 10
YbSm4S5 | Alexandria via LeMat-Bulk | PBE | relaxed; final energy = -6.165 eV per atom; M_tot = 0.00 Bohr magnetons per cell; mass density = 6.86 g/cm3; D(E_F) = 3.4 states/eV/cell
1.0
16.440 0.009 0.005
15.950 3.984 0.005
15.950 1.966 3.465
S Yb Sm
5 1 4
Cartesian
33.795 4.165 2.429 S
24.170 2.979 1.737 S
4.826 0.595 0.347 S
14.546 1.793 1.046 S
43.515 5.364 3.128 S
0.000 0.000 0.000 Yb
28.977 3.572 2.083 Sm
9.679 1.193 0.696 Sm
38.661 4.765 2.779 Sm
19.363 2.387 1.392 Sm

***

No. 11
Sm3ZnS2 | Alexandria via LeMat-Bulk | PBE | relaxed; final energy = -5.382 eV per atom; M_tot = 0.00 Bohr magnetons per cell; mass density = 6.69 g/cm3; D(E_F) = 7.2 states/eV/cell
1.0
5.768 0.000 0.000
-2.884 6.258 -1.987
0.000 -0.013 7.987
Sm Zn S
6 2 4
Cartesian
2.883 -0.010 5.991 Sm
2.885 -0.003 1.997 Sm
2.883 4.033 5.996 Sm
-0.001 2.205 3.998 Sm
2.885 4.039 2.002 Sm
0.001 2.212 0.005 Sm
0.001 -0.003 1.997 Zn
5.766 -0.010 5.991 Zn
0.001 4.199 2.004 S
-0.001 4.192 5.997 S
2.885 2.052 0.003 S
2.883 2.046 3.997 S

***

No. 12
Sm4ZnS3 | Alexandria via LeMat-Bulk | PBE | relaxed; final energy = -5.661 eV per atom; M_tot = 0.00 Bohr magnetons per cell; mass density = 6.68 g/cm3; D(E_F) = 3.0 states/eV/cell
1.0
-2.316 -4.827 2.091
2.504 -3.022 -4.200
4.523 3.144 4.369
Zn S Sm
1 3 4
Cartesian
0.000 0.000 0.000 Zn
0.094 -3.924 -1.054 S
1.150 -2.804 2.703 S
3.561 -1.901 -0.443 S
3.459 -3.194 4.360 Sm
5.869 -2.291 1.214 Sm
2.373 -0.401 1.703 Sm
2.338 -4.304 0.557 Sm